! MgHgBi2, PBEsol geometry, DFT SCAN; values from VASP
&SYSTEM
  ibrav = 0, nat = 4, ntyp = 3
/
ATOMIC_SPECIES
Mg 24.30 Mg.upf
Hg 200.59 Hg.upf
Bi 208.98 Bi.upf
ATOMIC_POSITIONS crystal
Mg 0.000 0.000 0.000
Hg 0.500 0.500 0.500
Bi 0.750 0.750 0.750
Bi 0.250 0.250 0.250
CELL_PARAMETERS angstrom
-2.476 -1.068 4.570
-4.847 -2.159 -0.050
-0.679 -5.034 1.537
! Symmetry: Fm-3m
! Energy: -57.456 eV per atom